The following is a PBE calculation of an optimized crystal structure of Zr2Sc2BiSb, from OQMD via LeMat-Bulk.

Values from the calculation:
ρ, g/cm³: 7.03
Uncorrected energy, eV/atom: -6.933

Cell and atoms, written as CIF:
```
data_Zr2Sc2BiSb
_symmetry_space_group_name_H-M 'I 4 m m'
_symmetry_Int_Tables_number 107
_symmetry_space_group_name_Hall 'I 4 -2'
_cell_length_a 4.209
_cell_length_b 4.209
_cell_length_c 16.078
_cell_angle_alpha 90.00
_cell_angle_beta 90.00
_cell_angle_gamma 90.00
loop_
_atom_site_label
_atom_site_type_symbol
_atom_site_fract_x
_atom_site_fract_y
_atom_site_fract_z
Zr1 Zr 0.000 0.500 0.000
Sc1 Sc 0.000 0.000 0.177
Sc2 Sc 0.000 0.000 0.833
Bi1 Bi 0.000 0.000 0.646
Sb1 Sb 0.000 0.000 0.361
```